# 1
Computed, not measured: a relaxed structure of YSc2Tl at the PBE-GGA level of DFT.

Properties
As for the total energy: -5.477 eV/atom. The value obtained for the formation energy is -103.8 meV per atom.

Unit cell a=3.4523 b=4.8658 c=6.4141 alpha=90.00 beta=102.68 gamma=90.00
Positions (direct):
1 Y 0.0000 0.0000 0.0000
2 Sc 0.4082 0.5000 0.7408
3 Sc 0.5918 0.5000 0.2592
4 Tl 0.0000 0.0000 0.5000


# 2
Computed, not measured: a relaxed structure of Co2SbOs at the PBE-GGA level of DFT.

Properties
As for the total energy: -6.972 eV/atom.

Unit cell a=2.8477 b=2.8477 c=7.0755 alpha=90.00 beta=90.00 gamma=90.00
Positions (direct):
1 Co 0.0000 0.0000 0.2294
2 Co 0.0000 0.0000 0.7706
3 Sb 0.5000 0.5000 0.5000
4 Os 0.5000 0.5000 0.0000


- What is the formula in the second record?
  Co2SbOs


Copy entry 2 word for word.
Computed, not measured: a relaxed structure of Co2SbOs at the PBE-GGA level of DFT.

Properties
As for the total energy: -6.972 eV/atom.

Unit cell a=2.8477 b=2.8477 c=7.0755 alpha=90.00 beta=90.00 gamma=90.00
Positions (direct):
1 Co 0.0000 0.0000 0.2294
2 Co 0.0000 0.0000 0.7706
3 Sb 0.5000 0.5000 0.5000
4 Os 0.5000 0.5000 0.0000